MgCu2Re | PBE-GGA | optimized geometry

Calculated volume ... 173 Å³ per cell
Formation energy from the elements ... 1.0 eV per formula unit
Total magnetic moment ... 0.08 μB/atom

a b c (Å): 2.7427 2.7427 26.5937
angles (deg): 90.00 90.00 120.00
Space group R-3m (No. 166, hexagonal axes)
Symmetry-distinct sites (fractional):
Mg 0.0000 0.0000 0.0000
Cu 0.0000 0.0000 0.2483
Re 0.0000 0.0000 0.5000

MgCu2Re | PBE-GGA | optimized geometry

Calculated volume ... 57 Å³ per cell
Formation energy from the elements ... 0.8 eV per formula unit
Total magnetic moment ... 0.00 μB/atom

a b c (Å): 2.656 2.656 8.029
angles (deg): 90.00 90.00 90.00
Space group P4/mmm (No. 123)
Symmetry-distinct sites (fractional):
Mg 0.000 0.000 0.000
Cu 0.500 0.500 0.257
Re 0.000 0.000 0.500

Mg2CuRe | PBE-GGA | optimized geometry

Energy above the lowest structure with this stoichiometry ... 119 meV/atom
Calculated volume ... 64 Å³ per cell
Formation energy from the elements ... 1.1 eV per formula unit
Total magnetic moment ... 0.00 μB/atom

a b c (Å): 2.720 4.661 5.067
angles (deg): 90.00 90.39 90.00
Space group Pm (No. 6)
Symmetry-distinct sites (fractional):
Mg 0.000 0.000 0.000
Mg 0.012 0.500 0.664
Cu 0.503 0.000 0.458
Re 0.508 0.500 0.176

Mg2CuRe | PBE-GGA | optimized geometry

Energy above the lowest structure with this stoichiometry ... 131 meV/atom
Calculated volume ... 63 Å³ per cell
Formation energy from the elements ... 1.2 eV per formula unit
Total magnetic moment ... 0.00 μB/atom

a b c (Å): 2.721 4.104 5.669
angles (deg): 90.00 90.70 90.00
Space group P2/m (No. 10)
Symmetry-distinct sites (fractional):
Mg 0.004 0.000 0.249
Cu 0.500 0.500 0.500
Re 0.500 0.500 0.000

Mg2CuRe | PBE-GGA | optimized geometry

Energy above the lowest structure with this stoichiometry ... 171 meV/atom
Calculated volume ... 62 Å³ per cell
Formation energy from the elements ... 1.3 eV per formula unit
Total magnetic moment ... 0.00 μB/atom

a b c (Å): 3.981 3.981 3.910
angles (deg): 90.00 90.00 90.00
Space group P4/mmm (No. 123)
Symmetry-distinct sites (fractional):
Mg 0.000 0.500 0.000
Cu 0.000 0.000 0.500
Re 0.500 0.500 0.500

Mg2CuRe | PBE-GGA | optimized geometry

Energy above the lowest structure with this stoichiometry ... 24 meV/atom
Calculated volume ... 63 Å³ per cell
Formation energy from the elements ... 0.8 eV per formula unit
Total magnetic moment ... 0.00 μB/atom

a b c (Å): 2.709 2.709 8.537
angles (deg): 90.00 90.00 90.00
Space group P4/mmm (No. 123)
Symmetry-distinct sites (fractional):
Mg 0.000 0.000 0.239
Cu 0.500 0.500 0.000
Re 0.500 0.500 0.500

MgCu2Re | PBE-GGA | optimized geometry

Calculated volume ... 57 Å³ per cell
Formation energy from the elements ... 1.7 eV per formula unit
Total magnetic moment ... 0.00 μB/atom

a b c (Å): 2.711 4.546 4.629
angles (deg): 90.00 90.00 90.00
Space group Pmmm (No. 47)
Symmetry-distinct sites (fractional):
Mg 0.000 0.000 0.000
Cu 0.000 0.500 0.500
Cu 0.500 0.500 0.000
Re 0.500 0.000 0.500

MgCuRe2 | PBE-GGA | optimized geometry

Calculated volume ... 62 Å³ per cell
Formation energy from the elements ... 2.3 eV per formula unit
Total magnetic moment ... 0.00 μB/atom

a b c (Å): 3.137 3.137 6.311
angles (deg): 90.00 90.00 90.00
Space group P4/mmm (No. 123)
Symmetry-distinct sites (fractional):
Mg 0.000 0.000 0.000
Cu 0.000 0.000 0.500
Re 0.500 0.500 0.306

Mg2CuRe | PBE-GGA | optimized geometry

Energy above the lowest structure with this stoichiometry ... 177 meV/atom
Calculated volume ... 64 Å³ per cell
Formation energy from the elements ... 1.4 eV per formula unit
Total magnetic moment ... 0.00 μB/atom

a b c (Å): 2.745 4.198 5.555
angles (deg): 90.00 90.00 90.00
Space group Pmm2 (No. 25)
Symmetry-distinct sites (fractional):
Mg 0.000 0.000 0.000
Mg 0.500 0.500 0.285
Cu 0.500 0.500 0.747
Re 0.000 0.000 0.516

MgCuRe2 | PBE-GGA | optimized geometry

Calculated volume ... 59 Å³ per cell
Formation energy from the elements ... 1.1 eV per formula unit
Total magnetic moment ... 0.00 μB/atom

a b c (Å): 3.134 4.199 4.518
angles (deg): 90.00 90.00 90.00
Space group Pmmm (No. 47)
Symmetry-distinct sites (fractional):
Mg 0.000 0.000 0.000
Cu 0.500 0.500 0.000
Re 0.000 0.500 0.500
Re 0.500 0.000 0.500

Mg2CuRe | PBE-GGA | optimized geometry

Energy above the lowest structure with this stoichiometry ... 129 meV/atom
Calculated volume ... 129 Å³ per cell
Formation energy from the elements ... 1.2 eV per formula unit
Total magnetic moment ... 0.00 μB/atom

a b c (Å): 2.809 4.724 9.695
angles (deg): 90.00 90.00 90.00
Space group Imm2 (No. 44)
Symmetry-distinct sites (fractional):
Mg 0.000 0.000 0.000
Mg 0.000 0.500 0.219
Cu 0.000 0.000 0.484
Re 0.000 0.500 0.760

MgCu2Re | PBE-GGA | optimized geometry

Calculated volume ... 56 Å³ per cell
Formation energy from the elements ... 0.8 eV per formula unit
Total magnetic moment ... 0.00 μB/atom

a b c (Å): 2.658 2.658 7.992
angles (deg): 90.00 90.00 90.00
Space group P4mm (No. 99)
Symmetry-distinct sites (fractional):
Mg 0.000 0.000 0.000
Cu 0.000 0.000 0.522
Cu 0.500 0.500 0.745
Re 0.500 0.500 0.280

Computed values of raw total energy (unit: eV per formula unit) for the preceding records, in sequence: -21.2; -21.5; -18.6; -18.5; -18.4; -19.0; -20.6; -28.3; -18.4; -29.5; -18.6; -21.4.